Entry 1:
TbPm2As3 | PBE-GGA | relaxed

Results
final energy = -6.211 eV per atom
V = 26.30 Å³/atom
formation energy = -1531 meV/atom
magnetic moment = 0.00 μB/atom

Cell lengths 13.949, 13.299, 7.285 Å; angles 79.49, 69.62, 30.90 degrees
Fractional positions:
Tb 0.042 0.042 0.208
Tb 0.208 0.208 0.042
Tb 0.792 0.792 0.958
Tb 0.958 0.958 0.792
Pm 0.125 0.125 0.625
Pm 0.292 0.292 0.458
Pm 0.375 0.375 0.875
Pm 0.458 0.458 0.292
Pm 0.542 0.542 0.708
Pm 0.625 0.625 0.125
Pm 0.708 0.708 0.542
Pm 0.875 0.875 0.375
As 0.041 0.541 0.205
As 0.120 0.630 0.630
As 0.205 0.713 0.041
As 0.287 0.795 0.459
As 0.370 0.880 0.880
As 0.459 0.959 0.287
As 0.541 0.041 0.713
As 0.630 0.120 0.120
As 0.713 0.205 0.541
As 0.795 0.287 0.959
As 0.880 0.370 0.370
As 0.959 0.459 0.795

***

Entry 2:
TbPm3As3 | PBE-GGA | relaxed

Results
final energy = -5.963 eV per atom
V = 25.34 Å³/atom
formation energy = -1273 meV/atom
magnetic moment = 0.00 μB/atom

Cell lengths 8.919, 8.919, 8.919 Å; angles 90.00, 90.00, 90.00 degrees
Fractional positions:
Tb 0.066 0.434 0.566
Tb 0.434 0.566 0.066
Tb 0.566 0.066 0.434
Tb 0.934 0.934 0.934
Pm 0.065 0.565 0.935
Pm 0.182 0.182 0.182
Pm 0.184 0.816 0.316
Pm 0.316 0.184 0.816
Pm 0.318 0.818 0.682
Pm 0.435 0.435 0.435
Pm 0.565 0.935 0.065
Pm 0.682 0.318 0.818
Pm 0.684 0.684 0.684
Pm 0.816 0.316 0.184
Pm 0.818 0.682 0.318
Pm 0.935 0.065 0.565
As 0.001 0.747 0.627
As 0.127 0.499 0.253
As 0.247 0.873 0.999
As 0.253 0.127 0.499
As 0.373 0.501 0.753
As 0.499 0.253 0.127
As 0.501 0.753 0.373
As 0.627 0.001 0.747
As 0.747 0.627 0.001
As 0.753 0.373 0.501
As 0.873 0.999 0.247
As 0.999 0.247 0.873

***

Entry 3:
TbPmAs2 | PBE-GGA | relaxed

Results
final energy = -5.733 eV per atom
V = 23.85 Å³/atom
formation energy = -1063 meV/atom
magnetic moment = 0.00 μB/atom

Cell lengths 5.129, 5.129, 5.129 Å; angles 60.00, 60.00, 60.00 degrees
Fractional positions:
Tb 0.000 0.000 0.000
Pm 0.500 0.500 0.500
As 0.250 0.250 0.250
As 0.750 0.750 0.750

***

Entry 4:
Tb5PmAs6 | PBE-GGA | relaxed

Results
final energy = -6.187 eV per atom
V = 25.37 Å³/atom
formation energy = -1537 meV/atom
magnetic moment = 0.00 μB/atom

Cell lengths 7.197, 7.197, 7.197 Å; angles 99.59, 99.59, 119.99 degrees
Fractional positions:
Tb 0.000 0.000 0.000
Tb 0.167 0.833 0.500
Tb 0.334 0.666 0.000
Tb 0.666 0.334 0.000
Tb 0.833 0.167 0.500
Pm 0.500 0.500 0.500
As 0.079 0.416 0.248
As 0.247 0.247 0.752
As 0.416 0.079 0.248
As 0.584 0.921 0.752
As 0.753 0.753 0.248
As 0.921 0.584 0.752

***

Please write out number 2 again, unchanged.
TbPm3As3 | PBE-GGA | relaxed

Results
final energy = -5.963 eV per atom
V = 25.34 Å³/atom
formation energy = -1273 meV/atom
magnetic moment = 0.00 μB/atom

Cell lengths 8.919, 8.919, 8.919 Å; angles 90.00, 90.00, 90.00 degrees
Fractional positions:
Tb 0.066 0.434 0.566
Tb 0.434 0.566 0.066
Tb 0.566 0.066 0.434
Tb 0.934 0.934 0.934
Pm 0.065 0.565 0.935
Pm 0.182 0.182 0.182
Pm 0.184 0.816 0.316
Pm 0.316 0.184 0.816
Pm 0.318 0.818 0.682
Pm 0.435 0.435 0.435
Pm 0.565 0.935 0.065
Pm 0.682 0.318 0.818
Pm 0.684 0.684 0.684
Pm 0.816 0.316 0.184
Pm 0.818 0.682 0.318
Pm 0.935 0.065 0.565
As 0.001 0.747 0.627
As 0.127 0.499 0.253
As 0.247 0.873 0.999
As 0.253 0.127 0.499
As 0.373 0.501 0.753
As 0.499 0.253 0.127
As 0.501 0.753 0.373
As 0.627 0.001 0.747
As 0.747 0.627 0.001
As 0.753 0.373 0.501
As 0.873 0.999 0.247
As 0.999 0.247 0.873

***

Look up the V of the fourth one. 25.37 Å³/atom

***

What is the formation energy in the first record? -1531 meV/atom